An optimized crystal structure of SmScGaHg, computed with GGA-PBE.

```
SmScGaHg
1.0
-4.3485 0.7619 -2.5511
-2.2127 -3.8674 -2.4790
-4.3606 -1.9847 1.7447
Sc Ga Hg Sm
1 1 1 1
direct
0.5000 0.5000 0.5000
0.2500 0.2500 0.2500
0.7500 0.7500 0.7500
0.0000 0.0000 0.0000
```

Summary:
Space-group type: No. 216
Calculated formation energy in eV per atom: -0.477
Volume in Å³/cell: 94
Energy in eV per atom: -4.0722